DFT (PBE) results for a relaxed FeBrCl2 crystal.

a b c (Å): 3.166 7.020 10.765
angles (deg): 90.00 90.00 90.00
Space group Cmmm (No. 65)
Asymmetric unit:
Fe (0.000, 0.000, 0.000) (multiplicity 2)
Br (0.000, 0.000, 0.500) (multiplicity 2)
Cl (0.000, 0.500, 0.156) (multiplicity 4)

Computed properties:
VASP energy: -3.699 eV/atom
formation energy without anion corrections: -241 meV/atom